P) The following is a DFT calculation (GGA-PBE) of a relaxed Tb12NdHo6 crystal.

```
Tb12NdHo6
1.0
8.4556 0.7066 0.8465
-0.5835 8.4649 0.8465
-0.5835 -0.6798 8.4800
Tb Nd Ho
12 1 6
direct
0.7753 0.5417 0.4344
0.4344 0.7753 0.5417
0.5417 0.4344 0.7753
0.2247 0.4583 0.5656
0.5656 0.2247 0.4583
0.4583 0.5656 0.2247
0.0117 0.2055 0.3576
0.7945 0.6424 0.9883
0.6424 0.9883 0.7945
0.9883 0.7945 0.6424
0.2055 0.3576 0.0117
0.3576 0.0117 0.2055
0.0000 0.0000 0.0000
0.7420 0.9055 0.3092
0.6908 0.2580 0.0945
0.0945 0.6908 0.2580
0.2580 0.0945 0.6908
0.3092 0.7420 0.9055
0.9055 0.3092 0.7420
```

Calculated values
Mass density (g/cm3): 8.15
Total moment (μB/cell): 0.001

=====

Q) The following is a DFT calculation (GGA-PBE) of a relaxed Tb12NdHo6 crystal.

```
Tb12NdHo6
1.0
-8.3232 3.5663 -2.2490
-0.1482 -9.1329 -1.9028
1.2067 1.0275 9.1946
Tb Nd Ho
12 1 6
direct
0.8900 0.1100 0.5000
0.3714 0.1571 0.3714
0.3714 0.3714 0.1571
0.8429 0.6286 0.6286
0.6286 0.6286 0.8429
0.6286 0.8429 0.6286
0.5000 0.8900 0.1100
0.1100 0.5000 0.8900
0.1100 0.8900 0.5000
0.5000 0.1100 0.8900
0.8900 0.5000 0.1100
0.1571 0.3714 0.3714
0.0000 0.0000 0.0000
0.6835 0.2562 0.6835
0.6835 0.6835 0.2562
0.2562 0.6835 0.6835
0.3165 0.3165 0.7438
0.3165 0.7438 0.3165
0.7438 0.3165 0.3165
```

Calculated values
Mass density (g/cm3): 7.71
Total moment (μB/cell): 0.000

=====

What are the relative energies? In eV/atom: P) 0.000; Q) 0.284.